(1)
A plane-wave DFT calculation with PBE was carried out for an optimized crystal structure of K2Tl3Hg4.

Mass density = 8.950 Mg/m³
Offset from the most stable computed form = 0.41 kcal/mol of atoms
DOS at the Fermi energy = 4.0 states/eV per cell

abc: 5.5154 5.5402 10.4580
angles: 88.87 89.95 60.16
Fractional positions:
K: 0.3312 0.3377 0.7727
K: 0.6688 0.6623 0.2273
Tl: 0.3370 0.3257 0.4147
Tl: 0.0000 0.0000 0.0000
Tl: 0.6630 0.6743 0.5853
Hg: 0.6661 0.6676 0.9035
Hg: 0.0044 0.9910 0.3502
Hg: 0.9956 0.0090 0.6498
Hg: 0.3339 0.3324 0.0965

(2)
A plane-wave DFT calculation with PBE was carried out for an optimized crystal structure of KTlHg10.

Mass density = 10.150 Mg/m³
DOS at the Fermi energy = 5.5 states/eV per cell
Uncorrected energy = -7.11 eV per cell

abc: 5.5553 6.1895 10.7022
angles: 90.00 90.00 90.00
Fractional positions:
K: 0.0000 0.0000 0.0000
Tl: 0.0000 0.5000 0.5000
Hg: 0.0000 0.0000 0.3390
Hg: 0.0000 0.5000 0.8268
Hg: 0.0000 0.5000 0.1732
Hg: 0.0000 0.0000 0.6610
Hg: 0.5000 0.0000 0.5000
Hg: 0.5000 0.5000 0.0000
Hg: 0.5000 0.2495 0.2511
Hg: 0.5000 0.7505 0.7489
Hg: 0.5000 0.7505 0.2511
Hg: 0.5000 0.2495 0.7489

(3)
A plane-wave DFT calculation with PBE was carried out for an optimized crystal structure of KTl4Hg.

Mass density = 8.288 Mg/m³
Offset from the most stable computed form = 0.94 kcal/mol of atoms
DOS at the Fermi energy = 5.6 states/eV per cell

abc: 7.2018 7.2018 9.6208
angles: 68.05 68.05 89.96
Fractional positions:
K: 0.5000 0.5000 0.0000
K: 0.0000 0.0000 0.0000
Tl: 0.9996 0.1915 0.3090
Tl: 0.1913 0.6913 0.3098
Tl: 0.4989 0.9989 0.3092
Tl: 0.5011 0.0011 0.6908
Tl: 0.8087 0.3087 0.6902
Tl: 0.0004 0.8085 0.6910
Tl: 0.3085 0.5004 0.6910
Tl: 0.6915 0.4996 0.3090
Hg: 0.7498 0.7502 0.5000
Hg: 0.2502 0.2498 0.5000

(4)
A plane-wave DFT calculation with PBE was carried out for an optimized crystal structure of KTl3Hg7.

Mass density = 10.197 Mg/m³
DOS at the Fermi energy = 9.8 states/eV per cell
Uncorrected energy = -21.75 eV per cell

abc: 3.5494 14.0182 13.5701
angles: 90.00 90.00 97.27
Fractional positions:
K: 0.9037 0.8074 0.2500
K: 0.0963 0.1926 0.7500
Tl: 0.0974 0.1947 0.3778
Tl: 0.9026 0.8053 0.6222
Tl: 0.2308 0.4615 0.7500
Tl: 0.7692 0.5385 0.2500
Tl: 0.0974 0.1947 0.1222
Tl: 0.9026 0.8053 0.8778
Hg: 0.4853 0.9706 0.7500
Hg: 0.5147 0.0294 0.2500
Hg: 0.4539 0.9077 0.4452
Hg: 0.5461 0.0923 0.5548
Hg: 0.5461 0.0923 0.9452
Hg: 0.4539 0.9077 0.0548
Hg: 0.3357 0.6713 0.4233
Hg: 0.6643 0.3287 0.5767
Hg: 0.2120 0.4239 0.4121
Hg: 0.7880 0.5761 0.5879
Hg: 0.7880 0.5761 0.9121
Hg: 0.2120 0.4239 0.0879
Hg: 0.3357 0.6713 0.0767
Hg: 0.6643 0.3287 0.9233

(5)
A plane-wave DFT calculation with PBE was carried out for an optimized crystal structure of KTl2Hg2.

Mass density = 8.960 Mg/m³
Offset from the most stable computed form = 0.60 kcal/mol of atoms
DOS at the Fermi energy = 4.8 states/eV per cell

abc: 9.3360 9.3360 3.6104
angles: 90.00 90.00 90.00
Fractional positions:
K: 0.0000 0.0000 0.0000
K: 0.5000 0.5000 0.0000
Tl: 0.3682 0.8682 0.0000
Tl: 0.8682 0.6318 0.0000
Tl: 0.6318 0.1318 0.0000
Tl: 0.1318 0.3682 0.0000
Hg: 0.1628 0.6628 0.5000
Hg: 0.6628 0.8372 0.5000
Hg: 0.8372 0.3372 0.5000
Hg: 0.3372 0.1628 0.5000

(6)
A plane-wave DFT calculation with PBE was carried out for an optimized crystal structure of K2Tl5Hg3.

Mass density = 8.078 Mg/m³
DOS at the Fermi energy = 11.0 states/eV per cell
Uncorrected energy = -31.90 eV per cell

abc: 7.5178 10.4031 10.4031
angles: 75.03 68.82 68.82
Fractional positions:
K: 0.1251 0.6298 0.1199
K: 0.6251 0.1199 0.6298
K: 0.8749 0.3702 0.8801
K: 0.3749 0.8801 0.3702
Tl: 0.3791 0.2491 0.9927
Tl: 0.8791 0.9927 0.2491
Tl: 0.6209 0.7509 0.0073
Tl: 0.1209 0.0073 0.7509
Tl: 0.5057 0.7443 0.7443
Tl: 0.4943 0.2557 0.2557
Tl: 0.7500 0.5000 0.5000
Tl: 0.2500 0.5000 0.5000
Tl: 0.9943 0.2557 0.2557
Tl: 0.0057 0.7443 0.7443
Hg: 0.3762 0.4872 0.7603
Hg: 0.8762 0.7603 0.4872
Hg: 0.6238 0.5128 0.2397
Hg: 0.1238 0.2397 0.5128
Hg: 0.2500 0.0000 0.0000
Hg: 0.7500 0.0000 0.0000

(7)
A plane-wave DFT calculation with PBE was carried out for an optimized crystal structure of K2Tl5Hg.

Mass density = 7.587 Mg/m³
Offset from the most stable computed form = 0.00 kcal/mol of atoms
DOS at the Fermi energy = 9.8 states/eV per cell

abc: 5.1710 10.1068 11.2698
angles: 90.00 90.00 104.82
Fractional positions:
K: 0.8048 0.6096 0.7500
K: 0.1952 0.3903 0.2500
K: 0.0000 0.0000 0.0000
K: 0.0000 0.0000 0.5000
Tl: 0.1921 0.3843 0.8935
Tl: 0.8079 0.6157 0.1065
Tl: 0.1921 0.3843 0.6065
Tl: 0.8079 0.6157 0.3935
Tl: 0.3524 0.7048 0.9706
Tl: 0.6476 0.2952 0.0294
Tl: 0.3524 0.7048 0.5294
Tl: 0.6476 0.2952 0.4706
Tl: 0.6008 0.2015 0.7500
Tl: 0.3992 0.7985 0.2500
Hg: 0.4465 0.8931 0.7500
Hg: 0.5535 0.1069 0.2500

(8)
A plane-wave DFT calculation with PBE was carried out for an optimized crystal structure of K4TlHg2.

Mass density = 3.298 Mg/m³
Offset from the most stable computed form = 2.97 kcal/mol of atoms
DOS at the Fermi energy = 4.1 states/eV per cell

abc: 6.7324 6.7324 9.7112
angles: 110.28 110.28 90.00
Fractional positions:
K: 0.7917 0.7917 0.5833
K: 0.2083 0.2083 0.4167
K: 0.0000 0.5000 0.0000
K: 0.5000 0.0000 0.0000
Tl: 0.0000 0.0000 0.0000
Hg: 0.5896 0.5896 0.1793
Hg: 0.4104 0.4104 0.8207

(9)
A plane-wave DFT calculation with PBE was carried out for an optimized crystal structure of KTl12Hg7.

Mass density = 10.310 Mg/m³
Offset from the most stable computed form = 0.00 kcal/mol of atoms
DOS at the Fermi energy = 8.2 states/eV per cell

abc: 8.8326 9.5234 9.5234
angles: 69.11 71.99 108.01
Fractional positions:
K: 0.0000 0.0000 0.0000
Tl: 0.9428 0.5340 0.2110
Tl: 0.8462 0.7890 0.7450
Tl: 0.6118 0.3597 0.0293
Tl: 0.3589 0.9707 0.3890
Tl: 0.5911 0.7450 0.4660
Tl: 0.7479 0.3890 0.6403
Tl: 0.2521 0.6110 0.3597
Tl: 0.4089 0.2550 0.5340
Tl: 0.6411 0.0293 0.6110
Tl: 0.3882 0.6403 0.9707
Tl: 0.1538 0.2110 0.2550
Tl: 0.0572 0.4660 0.7890
Hg: 0.8089 0.1885 0.2071
Hg: 0.9841 0.7929 0.3955
Hg: 0.3796 0.3955 0.8115
Hg: 0.5000 0.0000 0.0000
Hg: 0.6204 0.6045 0.1885
Hg: 0.0159 0.2071 0.6045
Hg: 0.1911 0.8115 0.7929

(10)
A plane-wave DFT calculation with PBE was carried out for an optimized crystal structure of KTl2Hg2.

Mass density = 8.016 Mg/m³
Offset from the most stable computed form = 0.25 kcal/mol of atoms
DOS at the Fermi energy = 3.3 states/eV per cell

abc: 5.6843 5.6843 6.7668
angles: 65.16 65.16 90.00
Fractional positions:
K: 0.0000 0.0000 0.0000
Tl: 0.3584 0.3584 0.2833
Tl: 0.6416 0.6416 0.7167
Hg: 0.7500 0.2500 0.5000
Hg: 0.2500 0.7500 0.5000

(11)
A plane-wave DFT calculation with PBE was carried out for an optimized crystal structure of K2TlHg4.

Mass density = 5.981 Mg/m³
Offset from the most stable computed form = 2.69 kcal/mol of atoms
DOS at the Fermi energy = 2.4 states/eV per cell

abc: 5.7467 5.7467 9.9854
angles: 106.72 106.72 90.00
Fractional positions:
K: 0.6276 0.6276 0.2552
K: 0.3724 0.3724 0.7448
Tl: 0.0000 0.0000 0.0000
Hg: 0.8166 0.8166 0.6333
Hg: 0.1834 0.1834 0.3667
Hg: 0.0000 0.5000 0.0000
Hg: 0.5000 0.0000 0.0000

(12)
A plane-wave DFT calculation with PBE was carried out for an optimized crystal structure of K6TlHg2.

Mass density = 3.177 Mg/m³
DOS at the Fermi energy = 6.0 states/eV per cell
Uncorrected energy = -10.56 eV per cell

abc: 4.9109 7.9648 13.0528
angles: 113.96 90.00 107.96
Fractional positions:
K: 0.5198 0.0396 0.7600
K: 0.8390 0.6780 0.4501
K: 0.7044 0.4088 0.1002
K: 0.1610 0.3220 0.5499
K: 0.4802 0.9604 0.2400
K: 0.2956 0.5912 0.8998
Tl: 0.0000 0.0000 0.0000
Hg: 0.8443 0.6885 0.7372
Hg: 0.1557 0.3115 0.2628